No. 1
# NbTl

NbTl after structural relaxation (PBE, the Alexandria database).

The final energy is -0.399 Ry per atom. The calculation puts the formation energy at 77 kJ/mol of atoms.

The space group is Fddd (No. 70, origin choice 2) and the conventional cell measures 5.3109, 8.6697 and 15.9726 Å, with angles of 90.00, 90.00 and 90.00 degrees. The inequivalent atoms are Nb at (0.1250, 0.1250, 0.0429) and Tl at (0.1250, 0.2923, 0.6250).

---

No. 2
# NbTl4

NbTl4 after structural relaxation (PBE, the Alexandria database).

The final energy is -0.253 Ry per atom. The calculation puts the formation energy at 45 kJ/mol of atoms.

The space group is Pm-3m (No. 221) and the conventional cell measures 5.5299, 5.5299 and 5.5299 Å, with angles of 90.00, 90.00 and 90.00 degrees. The inequivalent atoms are Nb at (0.0000, 0.0000, 0.0000), Tl at (0.0000, 0.0000, 0.5000) and Tl at (0.5000, 0.5000, 0.5000).

---

No. 3
# NbTl

NbTl after structural relaxation (PBE, the Alexandria database).

The final energy is -0.422 Ry per atom. The calculation puts the formation energy at 45 kJ/mol of atoms.

The space group is Pmmn (No. 59, origin choice 2) and the conventional cell measures 3.0008, 5.3888 and 5.2844 Å, with angles of 90.00, 90.00 and 90.00 degrees. The inequivalent atoms are Nb at (0.2500, 0.2500, 0.0740) and Tl at (0.2500, 0.7500, 0.4148).